The following is a PBE calculation of LaTc2P after structural relaxation, from the Alexandria database.

```
LaTc2P
1.0
2.0908 1.2071 5.3904
-2.0908 1.2071 5.3904
0.0000 -2.4143 5.3904
La Tc P
1 2 1
Cartesian
0.0000 0.0000 0.0000
0.0000 0.0000 8.1170
0.0000 0.0000 13.0322
0.0000 0.0000 3.4437
```

Output
ρ in Mg/m³: 7.44
D(E_F) in states/eV per cell: 2.246
Calculated total energy in eV/f.u.: -33.104
Formation enthalpy at 0 K in eV per formula unit: -2.035

---

The following is a PBE calculation of V2ReC after structural relaxation, from the Alexandria database.

```
V2ReC
1.0
2.8878 0.0000 0.0000
0.0000 2.8878 0.0000
0.0000 0.0000 5.5515
V Re C
2 1 1
Cartesian
0.0000 0.0000 1.0995
0.0000 0.0000 4.4520
1.4439 1.4439 2.7758
1.4439 1.4439 0.0000
```

Output
ρ in Mg/m³: 10.76
D(E_F) in states/eV per cell: 2.836
Calculated total energy in eV/f.u.: -38.934
Formation enthalpy at 0 K in eV per formula unit: 0.975

---

The following is a PBE calculation of FeCu2Cl6 after structural relaxation, from the Alexandria database.

```
FeCu2Cl6
1.0
6.7674 -5.4134 0.0000
6.7674 5.4134 0.0000
-0.4990 0.0000 6.0507
Fe Cu Cl
2 4 12
Cartesian
6.3932 4.5592 4.5380
6.6427 -4.5592 1.5127
4.9113 1.0240 4.3392
5.1608 -1.0240 1.3139
7.8750 1.0240 4.7368
8.1245 -1.0240 1.7115
0.9444 0.7390 3.5270
4.9339 2.9990 5.2708
1.1939 -0.7390 0.5016
4.8150 0.9802 2.1234
7.8525 2.9990 3.8053
4.5654 -0.9802 5.1487
8.4704 0.9802 0.9020
5.1834 -2.9990 2.2454
8.2209 -0.9802 3.9273
11.8420 0.7390 5.5491
8.1020 -2.9990 0.7799
12.0915 -0.7390 2.5237
```

Output
ΔE to the lowest computed polymorph in meV/atom: 100
ρ in Mg/m³: 2.96
D(E_F) in states/eV per cell: 15.676
Calculated total energy in eV/f.u.: -32.429

---

The following is a PBE calculation of Pm2Pr after structural relaxation, from the Alexandria database.

```
Pm2Pr
1.0
1.8506 1.0685 8.8834
-1.8506 1.0685 8.8834
0.0000 -2.1369 8.8834
Pm Pr
2 1
Cartesian
0.0000 0.0000 5.9162
0.0000 0.0000 20.7340
0.0000 0.0000 0.0000
```

Output
ΔE to the lowest computed polymorph in meV/atom: 0
ρ in Mg/m³: 6.79
D(E_F) in states/eV per cell: 4.187
Calculated total energy in eV/f.u.: -14.262
Formation enthalpy at 0 K in eV per formula unit: 0.019

---

The following is a PBE calculation of CeTl4 after structural relaxation, from the Alexandria database.

```
CeTl4
1.0
-2.5382 3.4160 8.3468
2.5382 -3.4160 8.3468
2.5382 3.4160 -8.3468
Ce Tl
2 8
Cartesian
0.0000 1.7080 1.5910
2.5382 1.7080 6.7557
2.5382 0.0000 0.0000
2.5382 -1.7080 6.5506
2.5382 0.0539 3.2788
0.0000 0.0539 5.0680
0.0000 0.0000 8.3468
2.5382 3.3622 3.2788
0.0000 3.3622 5.0680
0.0000 5.1240 1.7962
```

Output
ΔE to the lowest computed polymorph in meV/atom: 0
ρ in Mg/m³: 10.99
D(E_F) in states/eV per cell: 16.085
Calculated total energy in eV/f.u.: -15.996
Formation enthalpy at 0 K in eV per formula unit: -0.597

---

The following is a PBE calculation of Ho4S after structural relaxation, from the Alexandria database.

```
Ho4S
1.0
5.2654 0.0000 0.0000
0.0000 5.2654 0.0000
0.0000 0.0000 5.2654
Ho S
4 1
Cartesian
0.0000 0.0000 0.0000
0.0000 2.6327 2.6327
2.6327 0.0000 2.6327
2.6327 2.6327 0.0000
2.6327 2.6327 2.6327
```

Output
ρ in Mg/m³: 7.87
D(E_F) in states/eV per cell: 8.492
Calculated total energy in eV/f.u.: -25.608

---

The following is a PBE calculation of VSb3Ir after structural relaxation, from the Alexandria database.

```
VSb3Ir
1.0
4.9908 0.0000 0.0000
0.0000 4.9908 0.0000
0.0000 0.0000 4.9908
V Sb Ir
1 3 1
Cartesian
0.0000 0.0000 0.0000
0.0000 0.0000 2.4954
0.0000 2.4954 0.0000
2.4954 0.0000 0.0000
2.4954 2.4954 2.4954
```

Output
ΔE to the lowest computed polymorph in meV/atom: 79
ρ in Mg/m³: 8.13
D(E_F) in states/eV per cell: 3.496
Calculated total energy in eV/f.u.: -25.778

---

The following is a PBE calculation of Ho4As3Se after structural relaxation, from the Alexandria database.

```
Ho4As3Se
1.0
5.7815 0.0000 0.0000
0.0000 5.7815 0.0000
0.0000 0.0000 5.7815
Ho As Se
4 3 1
Cartesian
0.0000 0.0000 0.0000
0.0000 2.8907 2.8907
2.8907 0.0000 2.8907
2.8907 2.8907 0.0000
0.0000 0.0000 2.8907
0.0000 2.8907 0.0000
2.8907 0.0000 0.0000
2.8907 2.8907 2.8907
```

Output
ΔE to the lowest computed polymorph in meV/atom: 10
ρ in Mg/m³: 8.28
D(E_F) in states/eV per cell: 3.316
Calculated total energy in eV/f.u.: -48.713

---

The following is a PBE calculation of Sr2Be2B2O7 after structural relaxation, from the Alexandria database.

```
Sr2Be2B2O7
1.0
4.7291 0.0000 0.0000
-2.3646 4.0955 0.0000
0.0000 0.0000 15.5854
Sr Be B O
4 4 4 14
Cartesian
0.0000 0.0000 0.0000
0.0000 0.0000 3.8964
0.0000 0.0000 7.7927
0.0000 0.0000 11.6891
0.0000 2.7304 1.5782
0.0000 2.7304 6.2145
0.0000 2.7304 9.3709
0.0000 2.7304 14.0072
2.3646 1.3652 2.1093
2.3646 1.3652 5.6834
2.3646 1.3652 9.9020
2.3646 1.3652 13.4761
0.0000 2.7304 0.0000
0.0000 2.7304 7.7927
1.8002 0.1007 2.1261
1.8002 0.1007 5.6666
0.9873 1.5087 9.9188
0.9873 1.5087 13.4593
2.9289 0.1007 9.9188
2.9289 0.1007 13.4593
1.5516 2.4862 2.1261
1.5516 2.4862 5.6666
3.7418 1.5087 2.1261
3.7418 1.5087 5.6666
3.1775 2.4862 9.9188
3.1775 2.4862 13.4593
```

Output
ρ in Mg/m³: 3.60
D(E_F) in states/eV per cell: 0.000
Calculated total energy in eV/f.u.: -95.239

---

The following is a PBE calculation of Na4Er3InO8 after structural relaxation, from the Alexandria database.

```
Na4Er3InO8
1.0
3.3579 1.9387 5.5840
-3.3579 1.9387 5.5840
0.0000 -3.8774 5.5840
Na Er In O
4 3 1 8
Cartesian
0.0000 0.0000 0.0000
-1.6790 -0.9694 5.5840
-1.6790 0.9694 11.1679
0.0000 1.9387 5.5839
-3.3579 0.0000 8.3759
-1.6790 0.9694 2.7920
1.6790 0.9694 2.7920
0.0000 0.0000 8.3759
0.0000 0.0000 3.9526
-1.6738 -0.9664 9.5681
0.0000 -1.9328 7.1838
-1.6738 0.9664 7.1838
1.6738 -0.9664 9.5681
0.0000 1.9328 9.5681
1.6738 0.9664 7.1838
0.0000 0.0000 12.7993
```

Output
ρ in Mg/m³: 6.37
D(E_F) in states/eV per cell: 0.000
Calculated total energy in eV/f.u.: -101.749

---

The following is a PBE calculation of Li2CuAgH after structural relaxation, from the Alexandria database.

```
Li2CuAgH
1.0
3.9529 0.0000 0.0000
0.0000 3.9529 0.0000
0.0000 0.0000 3.9158
Li Cu Ag H
2 1 1 1
Cartesian
0.0000 1.9764 0.0000
1.9764 0.0000 0.0000
0.0000 0.0000 1.9579
1.9764 1.9764 1.9579
1.9764 1.9764 0.0000
```

Output
ΔE to the lowest computed polymorph in meV/atom: 73
ρ in Mg/m³: 5.06
D(E_F) in states/eV per cell: 1.163
Calculated total energy in eV/f.u.: -14.457

---

The following is a PBE calculation of MgSc2Cl after structural relaxation, from the Alexandria database.

```
MgSc2Cl
1.0
-3.8624 3.8624 3.1391
3.8624 -3.8624 3.1391
3.8624 3.8624 -3.1391
Mg Sc Cl
2 4 2
Cartesian
0.0000 0.0000 0.0000
0.0000 3.8624 1.5695
1.9312 -1.4340 2.3543
2.4283 1.9312 0.7848
1.9312 5.2964 -0.7848
1.4340 1.9312 3.9238
3.8624 0.0000 1.5695
0.0000 0.0000 3.1391
```

Output
ΔE to the lowest computed polymorph in meV/atom: 345
ρ in Mg/m³: 2.65
D(E_F) in states/eV per cell: 10.859
Calculated total energy in eV/f.u.: -17.161

---

The following is a PBE calculation of Tb2ErTl4 after structural relaxation, from the Alexandria database.

```
Tb2ErTl4
1.0
2.4314 1.4037 10.1808
-2.4314 1.4037 10.1808
0.0000 -2.8075 10.1808
Tb Er Tl
2 1 4
Cartesian
0.0000 0.0000 3.9333
0.0000 0.0000 26.6092
0.0000 0.0000 0.0000
0.0000 0.0000 7.4597
0.0000 0.0000 11.6364
0.0000 0.0000 18.9060
0.0000 0.0000 23.0827
```

Output
ΔE to the lowest computed polymorph in meV/atom: 155
ρ in Mg/m³: 10.38
D(E_F) in states/eV per cell: 5.161
Calculated total energy in eV/f.u.: -23.762
Formation enthalpy at 0 K in eV per formula unit: -0.474

---

The following is a PBE calculation of SmAlBi2 after structural relaxation, from the Alexandria database.

```
SmAlBi2
1.0
4.9877 0.0000 0.0000
0.0000 4.9877 0.0000
0.0000 0.0000 4.4520
Sm Al Bi
1 1 2
Cartesian
0.0000 0.0000 0.0000
2.4939 2.4939 0.0000
0.0000 2.4939 2.2260
2.4939 0.0000 2.2260
```

Output
ΔE to the lowest computed polymorph in meV/atom: 0
ρ in Mg/m³: 8.93
D(E_F) in states/eV per cell: 1.726
Calculated total energy in eV/f.u.: -17.460
Formation enthalpy at 0 K in eV per formula unit: -1.236

---

The following is a PBE calculation of Ba2CeSb3 after structural relaxation, from the Alexandria database.

```
Ba2CeSb3
1.0
-2.3393 3.3875 7.4651
2.3393 -3.3875 7.4651
2.3393 3.3875 -7.4651
Ba Ce Sb
2 1 3
Cartesian
0.0000 0.0000 2.6260
0.0000 0.0000 12.3041
0.0000 0.0000 7.4651
2.3393 0.0000 0.0000
2.3393 0.0000 5.3766
0.0000 3.3875 2.0884
```

Output
ρ in Mg/m³: 5.47
D(E_F) in states/eV per cell: 8.205
Calculated total energy in eV/f.u.: -27.429

---

The following is a PBE calculation of Pr8MgPt2 after structural relaxation, from the Alexandria database.

```
Pr8MgPt2
1.0
7.1252 -4.4211 0.0000
7.1252 4.4211 0.0000
-2.7088 0.0000 5.9063
Pr Mg Pt
8 1 2
Cartesian
4.7717 2.6984 1.3200
1.0129 0.0000 1.5780
6.7699 2.6984 4.5863
3.0503 0.0000 4.6675
8.4913 0.0000 1.2388
4.7717 -2.6984 1.3200
10.5287 0.0000 4.3282
6.7699 -2.6984 4.5863
5.7708 0.0000 2.9531
3.8596 0.0000 0.9743
7.6821 0.0000 4.9320
```

Output
ρ in Mg/m³: 6.88
D(E_F) in states/eV per cell: 13.200
Calculated total energy in eV/f.u.: -54.788
Formation enthalpy at 0 K in eV per formula unit: -2.875

---

The following is a PBE calculation of BeSeCl2 after structural relaxation, from the Alexandria database.

```
BeSeCl2
1.0
5.0396 0.0000 0.0000
0.0000 3.7354 0.0000
-0.8070 0.0000 6.3378
Be Se Cl
1 1 2
Cartesian
0.0000 0.0000 0.0000
-0.5243 1.8677 5.1577
1.5833 1.8677 4.4667
3.8945 0.0000 1.4418
```

Output
ΔE to the lowest computed polymorph in meV/atom: 3
ρ in Mg/m³: 2.21
Calculated total energy in eV/f.u.: -13.278

---

The following is a PBE calculation of Na2NiSe after structural relaxation, from the Alexandria database.

```
Na2NiSe
1.0
-1.9891 1.9891 9.8902
1.9891 -1.9891 9.8902
1.9891 1.9891 -9.8902
Na Ni Se
4 2 2
Cartesian
2.9837 0.9873 -2.4726
0.9873 0.9946 2.4726
-0.9946 1.0018 7.4177
1.0018 0.9946 12.3628
1.9891 0.0000 4.9451
0.0000 0.0000 9.8902
0.0000 0.0000 0.0000
0.0000 1.9891 4.9451
```

Output
ρ in Mg/m³: 3.90
D(E_F) in states/eV per cell: 2.642
Calculated total energy in eV/f.u.: -11.522

---

The following is a PBE calculation of Ag2SbCl after structural relaxation, from the Alexandria database.

```
Ag2SbCl
1.0
0.0000 3.5382 3.5382
3.5382 0.0000 3.5382
3.5382 3.5382 0.0000
Ag Sb Cl
2 1 1
Cartesian
1.7691 1.7691 1.7691
5.3074 5.3074 5.3074
0.0000 0.0000 0.0000
3.5382 3.5382 3.5382
```

Output
ΔE to the lowest computed polymorph in meV/atom: 406
ρ in Mg/m³: 6.99
D(E_F) in states/eV per cell: 5.584
Calculated total energy in eV/f.u.: -10.605

---

The following is a PBE calculation of Tb2Ho3Al2 after structural relaxation, from the Alexandria database.

```
Tb2Ho3Al2
1.0
1.7160 -16.0929 0.0000
1.7160 16.0929 0.0000
0.0000 0.0000 3.4500
Tb Ho Al
2 3 2
Cartesian
1.7160 9.5783 0.0000
1.7160 -9.5783 0.0000
1.7160 3.9205 1.7250
1.7160 0.0000 1.7250
1.7160 -3.9205 1.7250
1.7160 14.1252 0.0000
1.7160 -14.1252 0.0000
```

Output
ΔE to the lowest computed polymorph in meV/atom: 48
ρ in Mg/m³: 7.55
D(E_F) in states/eV per cell: 6.236
Calculated total energy in eV/f.u.: -31.594
Formation enthalpy at 0 K in eV per formula unit: -1.115

---

The following is a PBE calculation of Ca3Sm3ErS8 after structural relaxation, from the Alexandria database.

```
Ca3Sm3ErS8
1.0
3.9954 2.3068 6.5930
-3.9954 2.3068 6.5930
0.0000 -4.6135 6.5930
Ca Sm Er S
3 3 1 8
Cartesian
-1.9977 -1.1534 6.5930
-1.9977 1.1534 13.1860
0.0000 2.3068 6.5930
-3.9954 0.0000 9.8895
-1.9977 1.1534 3.2965
1.9977 1.1534 3.2965
0.0000 0.0000 9.8895
0.0000 0.0000 4.9546
-1.9338 -1.1165 11.4688
0.0000 -2.2330 8.3101
-1.9338 1.1165 8.3101
1.9338 -1.1165 11.4688
0.0000 2.2330 11.4688
1.9338 1.1165 8.3102
0.0000 0.0000 14.8244
```

Output
ρ in Mg/m³: 4.53
D(E_F) in states/eV per cell: 4.339
Calculated total energy in eV/f.u.: -89.054

---

The following is a PBE calculation of LiMg after structural relaxation, from the Alexandria database.

```
LiMg
1.0
3.1632 0.0000 0.0000
0.0000 5.0723 0.0000
0.0000 0.0000 5.2563
Li Mg
2 2
Cartesian
0.7908 1.2681 0.3539
2.3724 3.8042 4.9024
0.7908 3.8042 2.2443
2.3724 1.2681 3.0120
```

Output
ρ in Mg/m³: 1.23
D(E_F) in states/eV per cell: 1.715
Calculated total energy in eV/f.u.: -3.566
Formation enthalpy at 0 K in eV per formula unit: -0.057

---

The following is a PBE calculation of Ni5P after structural relaxation, from the Alexandria database.

```
Ni5P
1.0
2.9495 0.0000 0.0000
0.0000 2.9495 0.0000
0.0000 0.0000 7.5728
Ni P
5 1
Cartesian
0.0000 0.0000 0.0000
0.0000 0.0000 2.5844
0.0000 0.0000 4.9884
1.4747 1.4747 1.2536
1.4747 1.4747 6.3192
1.4747 1.4747 3.7864
```

Output
ρ in Mg/m³: 8.18
D(E_F) in states/eV per cell: 6.410
Calculated total energy in eV/f.u.: -34.690
Formation enthalpy at 0 K in eV per formula unit: -0.374

---

The following is a PBE calculation of K2Rb8Hg3 after structural relaxation, from the Alexandria database.

```
K2Rb8Hg3
1.0
12.9454 0.0000 0.0000
0.0000 6.3035 0.0000
-6.4550 0.0000 11.3330
K Rb Hg
2 8 3
Cartesian
0.0174 0.0000 5.6225
6.4730 0.0000 5.7106
0.0042 3.1518 2.1752
-3.2618 0.0000 9.1042
3.2022 0.0000 2.2176
0.0148 3.1518 9.1535
6.4756 3.1518 2.1795
3.2882 0.0000 9.1154
9.7521 0.0000 2.2288
6.4861 3.1518 9.1578
0.0000 0.0000 0.0000
-3.2250 3.1518 11.3299
9.7154 3.1518 0.0031
```

Output
ρ in Mg/m³: 2.45
D(E_F) in states/eV per cell: 9.419
Calculated total energy in eV/f.u.: -11.400
Formation enthalpy at 0 K in eV per formula unit: -0.559